Record 1
Here is a geometry-optimized Cu6PS5Br structure from the Alexandria database. Energies are from PBEsol.

Calculated values
DFT total energy in eV per cell: -117.8
Calculated density in kg/m3: 5012

Cell lengths 11.719, 11.719, 11.719 Å; angles 33.32, 33.32, 33.32 degrees
Fractional coordinates of all 26 atoms:
Cu 0.040 0.461 0.499
Cu 0.128 0.370 0.726
Cu 0.226 0.870 0.628
Cu 0.370 0.726 0.128
Cu 0.461 0.499 0.040
Cu 0.499 0.040 0.461
Cu 0.540 0.999 0.961
Cu 0.628 0.226 0.870
Cu 0.726 0.128 0.370
Cu 0.870 0.628 0.226
Cu 0.961 0.540 0.999
Cu 0.999 0.961 0.540
P 0.496 0.496 0.496
P 0.996 0.996 0.996
S 0.058 0.058 0.058
S 0.291 0.326 0.806
S 0.306 0.826 0.791
S 0.326 0.806 0.291
S 0.376 0.376 0.376
S 0.558 0.558 0.558
S 0.791 0.306 0.826
S 0.806 0.291 0.326
S 0.826 0.791 0.306
S 0.876 0.876 0.876
Br 0.246 0.246 0.246
Br 0.746 0.746 0.746


Record 2
Here is a geometry-optimized CuP4S3Br structure from the Alexandria database. Energies are from PBEsol.

Calculated values
DFT total energy in eV per cell: -177.3
Calculated density in kg/m3: 2928

Cell lengths 11.534, 11.534, 10.046 Å; angles 90.00, 90.00, 141.90 degrees
Fractional coordinates of all 36 atoms:
Cu 0.186 0.186 0.000
Cu 0.314 0.314 0.500
Cu 0.686 0.686 0.500
Cu 0.814 0.814 0.000
P 0.066 0.230 0.456
P 0.119 0.881 0.723
P 0.218 0.782 0.471
P 0.230 0.066 0.544
P 0.270 0.434 0.044
P 0.282 0.718 0.971
P 0.381 0.619 0.223
P 0.434 0.270 0.956
P 0.566 0.730 0.044
P 0.619 0.381 0.777
P 0.718 0.282 0.029
P 0.730 0.566 0.956
P 0.770 0.934 0.456
P 0.782 0.218 0.529
P 0.881 0.119 0.277
P 0.934 0.770 0.544
S 0.056 0.373 0.569
S 0.127 0.444 0.931
S 0.213 0.787 0.682
S 0.287 0.713 0.182
S 0.373 0.056 0.431
S 0.444 0.127 0.069
S 0.556 0.873 0.931
S 0.627 0.944 0.569
S 0.713 0.287 0.818
S 0.787 0.213 0.318
S 0.873 0.556 0.069
S 0.944 0.627 0.431
Br 0.028 0.972 0.189
Br 0.472 0.528 0.689
Br 0.528 0.472 0.311
Br 0.972 0.028 0.811


Record 3
Here is a geometry-optimized Cu2PbBr structure from the Alexandria database. Energies are from PBEsol.

Calculated values
DFT total energy in eV per cell: -13.9
Calculated density in kg/m3: 8956

Cell lengths 7.392, 7.392, 7.392 Å; angles 27.65, 27.65, 27.65 degrees
Fractional coordinates of all 4 atoms:
Cu 0.246 0.246 0.246
Cu 0.754 0.754 0.754
Pb 0.000 0.000 0.000
Br 0.500 0.500 0.500


Record 4
Here is a geometry-optimized CuPb2Br structure from the Alexandria database. Energies are from PBEsol.

Calculated values
DFT total energy in eV per cell: -14.4
Calculated density in kg/m3: 9106

Cell lengths 3.815, 3.815, 8.364 Å; angles 103.27, 103.27, 60.07 degrees
Fractional coordinates of all 4 atoms:
Cu 0.000 0.000 0.000
Pb 0.264 0.264 0.794
Pb 0.736 0.736 0.206
Br 0.500 0.500 0.500


Record 5
Here is a geometry-optimized Cu2PbBr structure from the Alexandria database. Energies are from PBEsol.

Calculated values
DFT total energy in eV per cell: -12.7
Calculated density in kg/m3: 9115

Cell lengths 4.853, 4.853, 3.204 Å; angles 90.00, 90.00, 90.00 degrees
Fractional coordinates of all 4 atoms:
Cu 0.000 0.500 0.000
Cu 0.500 0.000 0.000
Pb 0.000 0.000 0.500
Br 0.500 0.500 0.500


Record 6
Here is a geometry-optimized Cu2PbBr structure from the Alexandria database. Energies are from PBEsol.

Calculated values
DFT total energy in eV per cell: -14.0
Calculated density in kg/m3: 7915

Cell lengths 3.453, 3.810, 6.605 Å; angles 90.00, 90.11, 90.00 degrees
Fractional coordinates of all 4 atoms:
Cu 0.000 0.000 0.000
Cu 0.000 0.500 0.218
Pb 0.501 0.000 0.382
Br 0.000 0.500 0.782


The records above yield total magnetic moment values of 0.00; 0.00; 0.00; 0.00; 0.00; 0.00 μB per cell, respectively.